LiPrInCu | PBE | relaxed

a b c (Å): 6.8659 6.8659 6.8659
angles (deg): 90.00 90.00 90.00
Closest atoms and distances in Å follow each position.
Space group F-43m (No. 216)
Inequivalent atoms, fractional coordinates:
Li: 0.0000 0.0000 0.0000 (multiplicity 4)  4 Pr 2.97, 4 In 2.97
Pr: 0.2500 0.2500 0.2500 (multiplicity 4)  4 Li 2.97, 4 Cu 2.97
In: 0.2500 0.2500 0.7500 (multiplicity 4)  4 Li 2.97, 4 Cu 2.97
Cu: 0.0000 0.0000 0.5000 (multiplicity 4)  4 In 2.97, 4 Pr 2.97

Calculated values
calculated total energy = -58.10 eV for the cell shown

***

LiInCuPt | PBE | relaxed

a b c (Å): 6.2820 6.2820 6.2820
angles (deg): 90.00 90.00 90.00
Closest atoms and distances in Å follow each position.
Space group F-43m (No. 216)
Inequivalent atoms, fractional coordinates:
Li: 0.0000 0.0000 0.0000 (multiplicity 4)  4 Pt 2.72, 4 Cu 2.72
In: 0.0000 0.0000 0.5000 (multiplicity 4)  4 Cu 2.72, 4 Pt 2.72
Cu: 0.2500 0.2500 0.7500 (multiplicity 4)  4 In 2.72, 4 Li 2.72
Pt: 0.2500 0.2500 0.2500 (multiplicity 4)  4 In 2.72, 4 Li 2.72

Calculated values
calculated total energy = -63.54 eV for the cell shown
ΔE to the lowest computed polymorph = 0 meV/atom

***

Li4In2CuPt | PBE | relaxed

a b c (Å): 4.4610 4.4610 6.2835
angles (deg): 90.00 90.00 90.00
Closest atoms and distances in Å follow each position.
Space group P-4m2 (No. 115)
Inequivalent atoms, fractional coordinates:
Li: 0.0000 0.0000 0.0000 (multiplicity 1)  4 In 2.71, 4 Li 2.73
Li: 0.0000 0.5000 0.7492 (multiplicity 2)  4 Li 2.73, 2 Pt 2.73, 2 Cu 2.73
Li: 0.5000 0.5000 0.5000 (multiplicity 1)  4 Li 2.73, 4 In 2.75
In: 0.0000 0.5000 0.2439 (multiplicity 2)  4 Li 2.71-2.75, 2 Cu 2.71, 2 Pt 2.75
Cu: 0.5000 0.5000 0.0000 (multiplicity 1)  4 In 2.71, 4 Li 2.73
Pt: 0.0000 0.0000 0.5000 (multiplicity 1)  4 Li 2.73, 4 In 2.75

Calculated values
calculated total energy = -25.99 eV for the cell shown

***

Li2Sc2In2CuPt | PBE | relaxed

a b c (Å): 4.5830 4.5830 6.4861
angles (deg): 90.00 90.00 90.00
Closest atoms and distances in Å follow each position.
Space group P-4m2 (No. 115)
Inequivalent atoms, fractional coordinates:
Li: 0.0000 0.0000 0.0000 (multiplicity 1)  4 In 2.78, 4 Sc 2.82
Li: 0.5000 0.5000 0.5000 (multiplicity 1)  4 Sc 2.80, 4 In 2.84
Sc: 0.0000 0.5000 0.7473 (multiplicity 2)  4 Li 2.80-2.82, 2 Pt 2.80, 2 Cu 2.82
In: 0.0000 0.5000 0.2415 (multiplicity 2)  2 Cu 2.78, 4 Li 2.78-2.84, 2 Pt 2.84
Cu: 0.5000 0.5000 0.0000 (multiplicity 1)  4 In 2.78, 4 Sc 2.82
Pt: 0.0000 0.0000 0.5000 (multiplicity 1)  4 Sc 2.80, 4 In 2.84

Calculated values
calculated total energy = -36.29 eV for the cell shown

***

> The highest calculated total energy belongs to which entry?

Li4In2CuPt

***

> Which formula does entry 2 have?

LiInCuPt